# KTmGe2Cl8 | Alexandria via LeMat-Bulk | PBE-GGA | optimized geometry
# **E_form (uncorrected)**: -1.4750 eV per atom
data_KTmGe2Cl8
_chemical_formula_sum 'K1 Tm1 Ge2 Cl8'
_symmetry_space_group_name_H-M 'P -1'
_symmetry_Int_Tables_number 2
_symmetry_space_group_name_Hall '-P 1'
_cell_length_a 6.290
_cell_length_b 6.904
_cell_length_c 8.890
_cell_angle_alpha 93.33
_cell_angle_beta 90.36
_cell_angle_gamma 94.59
loop_
_atom_site_label
_atom_site_type_symbol
_atom_site_fract_x
_atom_site_fract_y
_atom_site_fract_z
_atom_site_occupancy
K1 K 0.000 0.000 0.000 1
Tm1 Tm 0.000 0.000 0.500 1
Ge1 Ge 0.460 0.557 0.265 1
Cl1 Cl 0.210 0.187 0.299 1
Cl2 Cl 0.231 0.693 0.460 1
Cl3 Cl 0.268 0.132 0.718 1
Cl4 Cl 0.278 0.645 0.059 1